(1)
Below is crystalline TiO2 at its relaxed geometry, with properties calculated at the GGA-PBE level.

Lattice parameters (Å, degrees): 5.3401 5.3401 5.3401 32.59 32.59 32.59
Last column: nearest neighbours and their distance in Å.
Element x y z (fractional)
1 Ti 0.0000 0.0000 0.0000  6 O 1.98
2 O 0.2695 0.2695 0.2695  3 Ti 1.98
3 O 0.7305 0.7305 0.7305  3 Ti 1.98

D(E_F) ... 0.00 states/eV per atom
Space group ... R-3m, No. 166
Total energy ... -26.465 eV per cell
Size of the total moment ... 0.000 μB per atom

(2)
Below is crystalline TiO2 at its relaxed geometry, with properties calculated at the GGA-PBE level.

Lattice parameters (Å, degrees): 5.9483 5.9483 9.0566 90.00 90.00 120.00
Last column: nearest neighbours and their distance in Å.
Element x y z (fractional)
1 Ti 0.1683 0.3367 0.0000  6 O 1.96-2.01
2 Ti 0.1683 0.8317 0.0000  6 O 1.96-2.01
3 Ti 0.3333 0.6667 0.2797  6 O 1.95-2.02
4 Ti 0.3367 0.1683 0.5000  6 O 1.96-2.01
5 Ti 0.6633 0.8317 0.0000  6 O 1.96-2.01
6 Ti 0.6667 0.3333 0.7797  6 O 1.95-2.02
7 Ti 0.8317 0.1683 0.5000  6 O 1.96-2.01
8 Ti 0.8317 0.6633 0.5000  6 O 1.96-2.01
9 O 0.0000 0.0000 0.1004  3 Ti 1.96
10 O 0.0000 0.0000 0.6004  3 Ti 1.96
11 O 0.0484 0.5242 0.1263  3 Ti 1.96-2.02
12 O 0.1716 0.3431 0.3914  3 Ti 1.95-2.01
13 O 0.1716 0.8284 0.3914  3 Ti 1.95-2.01
14 O 0.3333 0.6667 0.8872  3 Ti 1.98
15 O 0.3431 0.1716 0.8914  3 Ti 1.95-2.01
16 O 0.4758 0.5242 0.1263  3 Ti 1.96-2.02
17 O 0.4758 0.9516 0.1263  3 Ti 1.96-2.02
18 O 0.5242 0.0484 0.6263  3 Ti 1.96-2.02
19 O 0.5242 0.4758 0.6263  3 Ti 1.96-2.02
20 O 0.6569 0.8284 0.3914  3 Ti 1.95-2.01
21 O 0.6667 0.3333 0.3872  3 Ti 1.98
22 O 0.8284 0.1716 0.8914  3 Ti 1.95-2.01
23 O 0.8284 0.6569 0.8914  3 Ti 1.95-2.01
24 O 0.9516 0.4758 0.6263  3 Ti 1.96-2.02

D(E_F) ... 0.00 states/eV per atom
Space group ... P6_3mc, No. 186
Total energy ... -212.668 eV per cell
Size of the total moment ... 0.000 μB per atom

(3)
Below is crystalline TiO2 at its relaxed geometry, with properties calculated at the GGA-PBE level.

Lattice parameters (Å, degrees): 3.1858 5.8210 3.8389 90.00 90.00 90.00
Last column: nearest neighbours and their distance in Å.
Element x y z (fractional)
1 Ti 0.0000 0.0000 0.0000  4 O 1.82-1.86
2 Ti 0.5000 0.5000 0.2209  1 O 1.72
3 O 0.0000 0.2695 0.2581  1 Ti 1.86
4 O 0.0000 0.7305 0.2581  1 Ti 1.86
5 O 0.5000 0.0000 0.7695  2 Ti 1.82
6 O 0.5000 0.5000 0.7730  1 Ti 1.72

D(E_F) ... 0.00 states/eV per atom
Space group ... Pmm2, No. 25
Total energy ... -52.625 eV per cell
Size of the total moment ... 0.000 μB per atom

(4)
Below is crystalline TiO2 at its relaxed geometry, with properties calculated at the GGA-PBE level.

Lattice parameters (Å, degrees): 3.4208 3.4208 3.4208 60.00 60.00 60.00
Last column: nearest neighbours and their distance in Å.
Element x y z (fractional)
1 Ti 0.0000 0.0000 0.0000  8 O 2.09
2 O 0.2500 0.2500 0.2500  4 Ti 2.09
3 O 0.7500 0.7500 0.7500  4 Ti 2.09

Space group ... Fm-3m, No. 225
Total energy ... -26.014 eV per cell
Size of the total moment ... 0.000 μB per atom

(5)
Below is crystalline Ti19O30 at its relaxed geometry, with properties calculated at the GGA-PBE level.

Lattice parameters (Å, degrees): 5.0968 5.5162 21.1579 94.28 90.03 117.49
Last column: nearest neighbours and their distance in Å.
Element x y z (fractional)
1 Ti 0.0000 0.0000 0.0000  6 O 1.98-2.12
2 Ti 0.0278 0.0591 0.8602  6 O 2.01-2.08
3 Ti 0.0918 0.1866 0.2965  6 O 1.95-2.12
4 Ti 0.1191 0.2664 0.1642  5 O 1.90-2.13
5 Ti 0.1948 0.3934 0.5978  6 O 2.02-2.08
6 Ti 0.2246 0.4518 0.4590  6 O 2.00-2.09
7 Ti 0.2980 0.5993 0.8997  6 O 2.00-2.11
8 Ti 0.3282 0.6582 0.7601  6 O 2.01-2.09
9 Ti 0.4269 0.8531 0.0658  5 O 1.91-2.12
10 Ti 0.4922 0.9927 0.4975  6 O 2.01-2.09
11 Ti 0.5255 0.0390 0.3571  4 O 1.87-2.08
12 Ti 0.5959 0.1957 0.7983  6 O 2.01-2.09
13 Ti 0.6272 0.2574 0.6595  6 O 2.02-2.08
14 Ti 0.7001 0.3971 0.0983  6 O 1.92-2.12
15 Ti 0.7287 0.4583 0.9596  6 O 1.99-2.09
16 Ti 0.7928 0.5880 0.3951  6 O 2.01-2.09
17 Ti 0.8235 0.6569 0.2527  5 O 1.94-2.15
18 Ti 0.8954 0.7946 0.6978  6 O 2.02-2.08
19 Ti 0.9258 0.8548 0.5586  6 O 2.01-2.10
20 O 0.0411 0.4365 0.2432  3 Ti 1.95-1.99
21 O 0.0462 0.7218 0.4781  4 Ti 2.01-2.09
22 O 0.0938 0.8536 0.3403  4 Ti 1.97-2.20
23 O 0.1059 0.9877 0.2138  3 Ti 1.90-2.01
24 O 0.1228 0.5823 0.1114  3 Ti 1.91-2.13
25 O 0.1757 0.7285 0.9796  4 Ti 2.00-2.11
26 O 0.2534 0.1354 0.0786  4 Ti 1.98-2.13
27 O 0.2753 0.8653 0.8416  4 Ti 2.02-2.08
28 O 0.2871 0.2650 0.9413  4 Ti 2.02-2.08
29 O 0.3368 0.9885 0.7166  4 Ti 2.02-2.09
30 O 0.3490 0.3902 0.8169  4 Ti 2.01-2.11
31 O 0.3723 0.1246 0.5789  4 Ti 2.02-2.09
32 O 0.4485 0.5256 0.6789  4 Ti 2.02-2.08
33 O 0.4755 0.2608 0.4406  4 Ti 2.01-2.16
34 O 0.4836 0.6617 0.5410  4 Ti 2.02-2.09
35 O 0.5308 0.3713 0.3154  4 Ti 2.01-2.15
36 O 0.5513 0.7839 0.4176  4 Ti 2.02-2.08
37 O 0.5675 0.4948 0.1769  3 Ti 1.93-2.04
38 O 0.6574 0.8986 0.2883  3 Ti 1.87-2.04
39 O 0.6761 0.6654 0.0404  4 Ti 2.03-2.07
40 O 0.7190 0.0724 0.1329  3 Ti 1.90-2.03
41 O 0.7393 0.1845 0.0142  4 Ti 1.99-2.16
42 O 0.7403 0.7913 0.9166  4 Ti 2.01-2.12
43 O 0.7749 0.9273 0.7788  4 Ti 2.02-2.09
44 O 0.8517 0.3296 0.8784  4 Ti 2.01-2.09
45 O 0.8736 0.0623 0.6409  4 Ti 2.02-2.10
46 O 0.8866 0.4642 0.7412  4 Ti 2.02-2.08
47 O 0.9346 0.1864 0.5164  4 Ti 2.02-2.08
48 O 0.9481 0.5880 0.6162  4 Ti 2.02-2.08
49 O 0.9727 0.3203 0.3789  4 Ti 2.00-2.11

D(E_F) ... 0.30 states/eV per atom
Space group ... P1, No. 1
Total energy ... -440.988 eV per cell
Size of the total moment ... 0.000 μB per atom

(6)
Below is crystalline Ti4O7 at its relaxed geometry, with properties calculated at the GGA-PBE level.

Lattice parameters (Å, degrees): 5.7145 7.2753 12.5145 94.47 96.00 109.94
Last column: nearest neighbours and their distance in Å.
Element x y z (fractional)
1 Ti 0.1239 0.4307 0.2771  4 O 1.82-2.00
2 Ti 0.1982 0.6524 0.5624  5 O 1.92-2.10
3 Ti 0.2202 0.1496 0.0596  6 O 1.94-2.12
4 Ti 0.2197 0.6580 0.0601  6 O 1.95-2.10
5 Ti 0.2359 0.1741 0.5664  5 O 1.92-2.09
6 Ti 0.2986 0.0331 0.3042  4 O 1.82-2.01
7 Ti 0.3283 0.0717 0.7993  5 O 1.91-2.07
8 Ti 0.3364 0.5425 0.7946  6 O 1.93-2.13
9 Ti 0.6636 0.4575 0.2054  6 O 1.93-2.13
10 Ti 0.6717 0.9283 0.2007  5 O 1.91-2.07
11 Ti 0.7014 0.9669 0.6958  4 O 1.82-2.01
12 Ti 0.7641 0.8259 0.4336  5 O 1.92-2.09
13 Ti 0.7803 0.3420 0.9399  6 O 1.95-2.10
14 Ti 0.7798 0.8504 0.9404  6 O 1.94-2.12
15 Ti 0.8018 0.3476 0.4376  5 O 1.92-2.10
16 Ti 0.8761 0.5693 0.7229  4 O 1.82-2.00
17 O 0.0117 0.5891 0.1891  3 Ti 1.87-2.10
18 O 0.0386 0.0776 0.6951  2 Ti 1.82-2.01
19 O 0.0863 0.8589 0.5172  2 Ti 1.92-1.95
20 O 0.1021 0.3625 0.0270  3 Ti 1.94-2.02
21 O 0.1306 0.0071 0.9138  3 Ti 1.91-2.02
22 O 0.1688 0.5220 0.4199  2 Ti 1.82-1.92
23 O 0.2269 0.7614 0.7307  4 Ti 2.00-2.21
24 O 0.2992 0.2641 0.2254  4 Ti 1.93-2.13
25 O 0.3043 0.4366 0.6337  3 Ti 1.92-2.09
26 O 0.3397 0.9420 0.1374  4 Ti 2.02-2.20
27 O 0.4163 0.2002 0.4389  3 Ti 1.91-2.10
28 O 0.4167 0.6974 0.9405  3 Ti 1.95-1.99
29 O 0.4950 0.3580 0.8352  3 Ti 1.93-2.02
30 O 0.4970 0.1162 0.6607  3 Ti 1.89-2.07
31 O 0.5030 0.8838 0.3393  3 Ti 1.89-2.07
32 O 0.5050 0.6420 0.1648  3 Ti 1.93-2.02
33 O 0.5833 0.3026 0.0595  3 Ti 1.95-1.99
34 O 0.5837 0.7998 0.5611  3 Ti 1.91-2.10
35 O 0.6603 0.0580 0.8626  4 Ti 2.02-2.20
36 O 0.6957 0.5634 0.3663  3 Ti 1.92-2.09
37 O 0.7008 0.7359 0.7746  4 Ti 1.93-2.13
38 O 0.7731 0.2386 0.2693  4 Ti 2.00-2.21
39 O 0.8312 0.4780 0.5801  2 Ti 1.82-1.92
40 O 0.8694 0.9929 0.0862  3 Ti 1.91-2.02
41 O 0.8979 0.6375 0.9730  3 Ti 1.94-2.02
42 O 0.9137 0.1411 0.4828  2 Ti 1.92-1.95
43 O 0.9614 0.9224 0.3049  2 Ti 1.82-2.01
44 O 0.9883 0.4109 0.8109  3 Ti 1.87-2.10

D(E_F) ... 0.41 states/eV per atom
Space group ... P-1, No. 2
Total energy ... -393.375 eV per cell
Size of the total moment ... 0.101 μB per atom

(7)
Below is crystalline TiO at its relaxed geometry, with properties calculated at the GGA-PBE level.

Lattice parameters (Å, degrees): 5.8127 5.8127 3.0289 90.00 90.00 90.00
Last column: nearest neighbours and their distance in Å.
Element x y z (fractional)
1 Ti 0.2018 0.2018 0.0000  4 O 1.99-2.02
2 Ti 0.2982 0.7018 0.5000  4 O 1.99-2.02
3 Ti 0.7018 0.2982 0.5000  4 O 1.99-2.02
4 Ti 0.7982 0.7982 0.0000  4 O 1.99-2.02
5 O 0.1412 0.8588 0.0000  4 Ti 1.99-2.02
6 O 0.3588 0.3588 0.5000  4 Ti 1.99-2.02
7 O 0.6412 0.6412 0.5000  4 Ti 1.99-2.02
8 O 0.8588 0.1412 0.0000  4 Ti 1.99-2.02

D(E_F) ... 0.83 states/eV per atom
Space group ... P4_2/mnm, No. 136
Total energy ... -68.528 eV per cell
Size of the total moment ... 0.000 μB per atom

(8)
Below is crystalline TiO2 at its relaxed geometry, with properties calculated at the GGA-PBE level.

Lattice parameters (Å, degrees): 7.4406 7.4406 7.4406 92.30 92.30 156.88
Last column: nearest neighbours and their distance in Å.
Element x y z (fractional)
1 Ti 0.1392 0.3235 0.4627  5 O 1.88-2.05
2 Ti 0.3235 0.8608 0.1844  5 O 1.88-2.05
3 Ti 0.6765 0.1392 0.8156  5 O 1.88-2.05
4 Ti 0.8608 0.6765 0.5373  5 O 1.88-2.05
5 O 0.0422 0.6632 0.7055  3 Ti 1.88-2.05
6 O 0.2910 0.6555 0.9466  2 Ti 1.91
7 O 0.3368 0.0422 0.3790  3 Ti 1.88-2.05
8 O 0.3445 0.2910 0.6355  2 Ti 1.91
9 O 0.6555 0.7090 0.3645  2 Ti 1.91
10 O 0.6632 0.9578 0.6210  3 Ti 1.88-2.05
11 O 0.7090 0.3445 0.0534  2 Ti 1.91
12 O 0.9578 0.3368 0.2945  3 Ti 1.88-2.05

D(E_F) ... 0.00 states/eV per atom
Space group ... I4/m, No. 87
Total energy ... -106.952 eV per cell
Size of the total moment ... 0.000 μB per atom

(9)
Below is crystalline Ti5O7 at its relaxed geometry, with properties calculated at the GGA-PBE level.

Lattice parameters (Å, degrees): 5.1272 5.1272 18.7430 90.00 90.00 146.75
Last column: nearest neighbours and their distance in Å.
Element x y z (fractional)
1 Ti 0.0000 0.0000 0.0000  6 O 2.07-2.16
2 Ti 0.0000 0.0000 0.5000  6 O 2.07-2.16
3 Ti 0.2730 0.7270 0.5669  6 O 2.02-2.22
4 Ti 0.2730 0.7270 0.9331  6 O 2.02-2.22
5 Ti 0.4669 0.5331 0.1584  3 O 1.81-1.95
6 Ti 0.4669 0.5331 0.3416  3 O 1.81-1.95
7 Ti 0.5331 0.4669 0.6584  3 O 1.81-1.95
8 Ti 0.5331 0.4669 0.8416  3 O 1.81-1.95
9 Ti 0.7270 0.2730 0.0669  6 O 2.02-2.22
10 Ti 0.7270 0.2730 0.4331  6 O 2.02-2.22
11 O 0.0872 0.9128 0.1060  5 Ti 2.12-2.16
12 O 0.0872 0.9128 0.3940  5 Ti 2.12-2.16
13 O 0.1643 0.8357 0.6586  3 Ti 1.95-2.02
14 O 0.1643 0.8357 0.8414  3 Ti 1.95-2.02
15 O 0.3719 0.6281 0.0394  5 Ti 2.07-2.22
16 O 0.3719 0.6281 0.4606  5 Ti 2.07-2.22
17 O 0.4738 0.5262 0.7500  2 Ti 1.81
18 O 0.5262 0.4738 0.2500  2 Ti 1.81
19 O 0.6281 0.3719 0.5394  5 Ti 2.07-2.22
20 O 0.6281 0.3719 0.9606  5 Ti 2.07-2.22
21 O 0.8357 0.1643 0.1586  3 Ti 1.95-2.02
22 O 0.8357 0.1643 0.3414  3 Ti 1.95-2.02
23 O 0.9128 0.0872 0.6060  5 Ti 2.12-2.16
24 O 0.9128 0.0872 0.8940  5 Ti 2.12-2.16

D(E_F) ... 0.48 states/eV per atom
Space group ... Cmcm, No. 63
Total energy ... -212.636 eV per cell
Size of the total moment ... 0.038 μB per atom